DFT (PBEsol) results for IrRhC2S after structural relaxation.

Summary:
* DOS at the Fermi energy: 2.32 states/eV per cell
* uncorrected energy: -6.458 eV per atom
* energy relative to the elements, uncorrected: 1869.0 meV/atom

The structure in CIF format:
```
data_IrRhC2S
_symmetry_space_group_name_H-M 'P 1'
_symmetry_Int_Tables_number 1
_cell_length_a 3.766
_cell_length_b 3.766
_cell_length_c 4.839
_cell_angle_alpha 90.00
_cell_angle_beta 90.00
_cell_angle_gamma 90.00
loop_
_symmetry_equiv_pos_as_xyz
'x,y,z'
loop_
_atom_site_label
_atom_site_type_symbol
_atom_site_fract_x
_atom_site_fract_y
_atom_site_fract_z
_atom_site_occupancy
Ir1 Ir 0.000 0.000 0.000 1
Rh1 Rh 0.500 0.500 0.500 1
C1 C 0.000 0.500 0.500 1
C2 C 0.500 0.000 0.500 1
S1 S 0.500 0.500 0.000 1
```